1.
A relaxed ThGa4Au12 crystal, computed with PBE-GGA.

As for the mass density: 13.11 Mg/m³. The crystal system is cubic. Its size of the total moment is 0.0 Bohr magnetons per cell. The value obtained for the energy of formation is -0.078 eV per atom. For the uncorrected energy, the calculation gives -60.188 eV/cell.

Lattice parameters (Å, degrees): 7.792 7.792 7.792 109.47 109.47 109.47
Fractional positions:
Au 0.153 0.341 0.495
Au 0.505 0.847 0.659
Au 0.659 0.505 0.847
Au 0.341 0.495 0.153
Au 0.495 0.153 0.341
Au 0.812 0.153 0.659
Au 0.847 0.341 0.188
Au 0.341 0.188 0.847
Au 0.659 0.812 0.153
Au 0.847 0.659 0.505
Au 0.153 0.659 0.812
Au 0.188 0.847 0.341
Ga 0.500 0.000 0.000
Ga 0.000 0.000 0.500
Ga 0.500 0.500 0.500
Ga 0.000 0.500 0.000
Th 0.000 0.000 0.000

=====

2.
A relaxed Re2TeIrW crystal, computed with PBE-GGA.

As for the mass density: 13.00 Mg/m³. The crystal system is tetragonal. For the energy relative to the elements, uncorrected, the calculation gives 2403 meV per atom. Its size of the total moment is 1.3 Bohr magnetons per cell. For the uncorrected energy, the calculation gives -37.839 eV/cell.

Lattice parameters (Å, degrees): 4.694 5.078 4.694 90.00 90.00 90.00
Last column: magnetic moment on the atom in μB.
Fractional positions:
Ir 0.000 0.000 0.000  0.00
Re 0.000 0.000 0.500  -0.54
Re 0.500 0.000 0.000  -0.50
W 0.500 0.500 0.500  1.97
Te 0.000 0.500 0.000  -0.08

=====

3.
A relaxed CaIr2Os crystal, computed with PBE-GGA.

As for the mass density: 15.62 Mg/m³. The crystal system is tetragonal. The calculation puts the relative energy among the computed polymorphs at 248 meV per atom. Its size of the total moment is 0.0 Bohr magnetons per cell. The value obtained for the energy of formation is 0.271 eV per atom. For the uncorrected energy, the calculation gives -29.868 eV/cell.

Lattice parameters (Å, degrees): 4.821 4.821 2.811 90.00 90.00 90.00
Fractional positions:
Ir 0.000 0.000 0.000
Ir 0.500 0.500 0.000
Ca 0.000 0.500 0.500
Os 0.500 0.000 0.500

=====

4.
A relaxed Mg8PdAu2 crystal, computed with PBE-GGA.

As for the mass density: 5.31 Mg/m³. The crystal system is monoclinic. The calculation puts the relative energy among the computed polymorphs at 0 meV per atom. Its size of the total moment is 0.0 Bohr magnetons per cell. The value obtained for the energy of formation is -0.425 eV per atom. For the uncorrected energy, the calculation gives -29.176 eV/cell.

Lattice parameters (Å, degrees): 4.580 6.712 8.017 112.08 106.60 90.00
Fractional positions:
Mg 0.335 0.068 0.671
Mg 0.187 0.266 0.374
Mg 0.813 0.734 0.626
Mg 0.399 0.563 0.798
Mg 0.601 0.437 0.202
Mg 0.665 0.932 0.329
Mg 0.977 0.218 0.954
Mg 0.023 0.782 0.046
Pd 0.500 0.000 0.000
Au 0.818 0.323 0.637
Au 0.182 0.677 0.363

=====

5.
A relaxed La2MgSn2 crystal, computed with PBE-GGA.

As for the mass density: 5.59 Mg/m³. The crystal system is orthorhombic. Its size of the total moment is 0.0 Bohr magnetons per cell. The value obtained for the energy of formation is -0.586 eV per atom. For the uncorrected energy, the calculation gives -44.774 eV/cell.

Lattice parameters (Å, degrees): 6.731 6.998 8.363 114.73 113.73 90.00
Fractional positions:
Mg 0.750 0.500 0.000
Mg 0.250 0.500 0.000
Sn 0.621 0.382 0.242
Sn 0.121 0.860 0.242
Sn 0.879 0.140 0.758
Sn 0.379 0.618 0.758
La 0.861 0.656 0.722
La 0.139 0.344 0.278
La 0.361 0.066 0.722
La 0.639 0.934 0.278